# PmUCrO6

A geometry-optimized PmUCrO6 structure (PBE+U, Alexandria).

Cell and atoms, written as POSCAR:
```
PmUCrO6
1.0
5.4053 0.0000 0.0000
-2.7027 4.6811 0.0000
0.0000 0.0000 10.1041
Pm U Cr O
2 2 2 12
direct
0.0000 0.0000 0.0000
0.0000 0.0000 0.5000
0.3333 0.6667 0.2500
0.6667 0.3333 0.7500
0.3333 0.6667 0.7500
0.6667 0.3333 0.2500
0.0086 0.3605 0.6408
0.0086 0.6481 0.8592
0.3519 0.3605 0.8592
0.3519 0.9914 0.6408
0.3605 0.0086 0.1408
0.3605 0.3519 0.3592
0.6395 0.6481 0.6408
0.6395 0.9914 0.8592
0.6481 0.0086 0.3592
0.6481 0.6395 0.1408
0.9914 0.3519 0.1408
0.9914 0.6395 0.3592
```

Computed properties:
Calculated total energy (eV per atom): -8.835
Magnetic moment (Bohr magnetons per cell): 6.00